Record 1
A plane-wave DFT calculation with PBE was carried out for a relaxed structure of YSe2BrO.

a = 5.6024 Å, b = 5.6024 Å, c = 5.5243 Å
α = 90.00°, β = 90.00°, γ = 90.00°
Last column: nearest neighbours and their distance in Å.
Positions (direct):
Y (0.0000, 0.0000, 0.0000)  2 Br 2.76, 4 Se 2.80
Se (0.0000, 0.5000, 0.0000)  2 Y 2.80
Se (0.5000, 0.0000, 0.0000)  2 Y 2.80
Br (0.0000, 0.0000, 0.5000)  2 Y 2.76
O (0.5000, 0.5000, 0.5000)  8 Se 3.93, 4 Br 3.96

Calculated values
energy relative to the lowest polymorph listed for this composition	49.8	kJ per mole of atoms
total magnetization	3.9	μB/cell
raw total energy	-4.075	eV/atom
energy relative to the elements, uncorrected	-0.31	eV per formula unit

Record 2
A plane-wave DFT calculation with PBE was carried out for a relaxed structure of Re2TcAs.

a = 3.8158 Å, b = 3.8158 Å, c = 8.1357 Å
α = 90.00°, β = 90.00°, γ = 90.00°
Last column: nearest neighbours and their distance in Å.
Positions (direct):
Re (0.0000, 0.0000, 0.0000)  4 As 2.70, 4 Re 2.79, 4 Tc 2.79
Re (0.0000, 0.5000, 0.2500)  4 Tc 2.70, 4 As 2.79, 4 Re 2.79
Re (0.5000, 0.0000, 0.7500)  4 Tc 2.70, 4 Re 2.79, 4 As 2.79
Re (0.5000, 0.5000, 0.5000)  4 As 2.70, 4 Re 2.79, 4 Tc 2.79
Tc (0.0000, 0.5000, 0.7500)  8 Re 2.70-2.79, 4 As 2.79
Tc (0.5000, 0.0000, 0.2500)  8 Re 2.70-2.79, 4 As 2.79
As (0.0000, 0.0000, 0.5000)  8 Re 2.70-2.79, 4 Tc 2.79
As (0.5000, 0.5000, 0.0000)  8 Re 2.70-2.79, 4 Tc 2.79

Calculated values
total magnetization	0.0	μB/cell
calculated formation energy	9.69	kcal/mol of atoms
raw total energy	-9.558	eV/atom

Record 3
A plane-wave DFT calculation with PBE was carried out for a relaxed structure of Er4In3Cu.

a = 3.4879 Å, b = 3.4879 Å, c = 16.1623 Å
α = 90.00°, β = 90.00°, γ = 90.00°
Last column: nearest neighbours and their distance in Å.
Positions (direct):
Er (0.0000, 0.0000, 0.1047)  4 Cu 2.99, 4 In 3.25
Er (0.0000, 0.0000, 0.3681)  8 In 3.26, 4 Er 3.49
Er (0.0000, 0.0000, 0.6319)  8 In 3.26, 4 Er 3.49
Er (0.0000, 0.0000, 0.8953)  4 Cu 2.99, 4 In 3.25
In (0.5000, 0.5000, 0.2360)  8 Er 3.25-3.26, 4 In 3.49
In (0.5000, 0.5000, 0.5000)  8 Er 3.26, 4 In 3.49
In (0.5000, 0.5000, 0.7640)  8 Er 3.25-3.26, 4 In 3.49
Cu (0.5000, 0.5000, 0.0000)  8 Er 2.99

Calculated values
total magnetization	0.0	μB/cell
calculated formation energy	-9.43	kcal/mol of atoms
raw total energy	-4.229	eV/atom

Q: The highest raw total energy belongs to which entry?
A: YSe2BrO

Please write out number 2 again, unchanged.
A plane-wave DFT calculation with PBE was carried out for a relaxed structure of Re2TcAs.

a = 3.8158 Å, b = 3.8158 Å, c = 8.1357 Å
α = 90.00°, β = 90.00°, γ = 90.00°
Last column: nearest neighbours and their distance in Å.
Positions (direct):
Re (0.0000, 0.0000, 0.0000)  4 As 2.70, 4 Re 2.79, 4 Tc 2.79
Re (0.0000, 0.5000, 0.2500)  4 Tc 2.70, 4 As 2.79, 4 Re 2.79
Re (0.5000, 0.0000, 0.7500)  4 Tc 2.70, 4 Re 2.79, 4 As 2.79
Re (0.5000, 0.5000, 0.5000)  4 As 2.70, 4 Re 2.79, 4 Tc 2.79
Tc (0.0000, 0.5000, 0.7500)  8 Re 2.70-2.79, 4 As 2.79
Tc (0.5000, 0.0000, 0.2500)  8 Re 2.70-2.79, 4 As 2.79
As (0.0000, 0.0000, 0.5000)  8 Re 2.70-2.79, 4 Tc 2.79
As (0.5000, 0.5000, 0.0000)  8 Re 2.70-2.79, 4 Tc 2.79

Calculated values
total magnetization	0.0	μB/cell
calculated formation energy	9.69	kcal/mol of atoms
raw total energy	-9.558	eV/atom